# 1
## ScTeCI2 (PBE-GGA)

Data for ScTeCI2 after structural relaxation.

Unit cell a=4.976 b=4.976 c=4.906 alpha=90.00 beta=90.00 gamma=90.00
Element x y z (fractional)
Sc  0.000  0.000  0.000
Te  0.500  0.500  0.000
C  0.500  0.500  0.500
I  0.000  0.500  0.500
I  0.500  0.000  0.500

Output
Energy above the lowest structure with this stoichiometry (eV per formula unit): 0.00
Final energy (eV/atom): -3.6234

# 2
## ScTe2CI (PBE-GGA)

Data for ScTe2CI after structural relaxation.

Unit cell a=5.609 b=5.609 c=5.596 alpha=90.00 beta=90.00 gamma=90.00
Element x y z (fractional)
Sc  0.000  0.000  0.000
Te  0.000  0.500  0.000
Te  0.500  0.000  0.000
C  0.500  0.500  0.500
I  0.000  0.000  0.500

Output
Energy above the lowest structure with this stoichiometry (eV per formula unit): 2.28
Final energy (eV/atom): -3.5969

# 3
## CSe2I (PBE-GGA)

Data for CSe2I after structural relaxation.

Unit cell a=4.865 b=4.865 c=4.865 alpha=60.00 beta=60.00 gamma=60.00
Element x y z (fractional)
C  0.000  0.000  0.000
Se  0.250  0.250  0.250
Se  0.750  0.750  0.750
I  0.500  0.500  0.500

Output
Energy above the lowest structure with this stoichiometry (eV per formula unit): 5.58
Final energy (eV/atom): -2.3922

# 4
## CSeI2 (PBE-GGA)

Data for CSeI2 after structural relaxation.

Unit cell a=6.478 b=6.478 c=6.478 alpha=112.64 beta=112.64 gamma=103.30
Element x y z (fractional)
C  0.000  0.000  0.000
C  0.750  0.250  0.500
Se  0.250  0.750  0.500
Se  0.500  0.500  0.000
I  0.054  0.125  0.429
I  0.375  0.946  0.071
I  0.696  0.625  0.571
I  0.875  0.304  0.929

Output
Energy above the lowest structure with this stoichiometry (eV per formula unit): 0.00
Final energy (eV/atom): -2.4756

# 5
## C2SeI (PBE-GGA)

Data for C2SeI after structural relaxation.

Unit cell a=4.391 b=4.391 c=4.391 alpha=60.00 beta=60.00 gamma=60.00
Element x y z (fractional)
C  0.250  0.250  0.250
C  0.750  0.750  0.750
Se  0.000  0.000  0.000
I  0.500  0.500  0.500

Output
Energy above the lowest structure with this stoichiometry (eV per formula unit): 2.75
Final energy (eV/atom): -2.9498

# 6
## CSe2I (PBE-GGA)

Data for CSe2I after structural relaxation.

Unit cell a=7.965 b=7.965 c=7.965 alpha=36.59 beta=36.59 gamma=36.59
Element x y z (fractional)
C  0.000  0.000  0.000
Se  0.077  0.077  0.077
Se  0.923  0.923  0.923
I  0.500  0.500  0.500

Output
Energy above the lowest structure with this stoichiometry (eV per formula unit): 0.00
Final energy (eV/atom): -3.7861

# 7
## CSe3I (PBE-GGA)

Data for CSe3I after structural relaxation.

Unit cell a=4.599 b=4.599 c=4.599 alpha=90.00 beta=90.00 gamma=90.00
Element x y z (fractional)
C  0.000  0.000  0.000
Se  0.000  0.000  0.500
Se  0.000  0.500  0.000
Se  0.500  0.000  0.000
I  0.500  0.500  0.500

Output
Energy above the lowest structure with this stoichiometry (eV per formula unit): 0.00
Final energy (eV/atom): -3.0379

# 8
## CSe2I (PBE-GGA)

Data for CSe2I after structural relaxation.

Unit cell a=6.229 b=6.229 c=6.229 alpha=114.68 beta=114.68 gamma=99.49
Element x y z (fractional)
C  0.000  0.000  0.000
C  0.750  0.250  0.500
Se  0.375  0.242  0.367
Se  0.758  0.125  0.133
Se  0.875  0.008  0.633
Se  0.992  0.625  0.867
I  0.250  0.750  0.500
I  0.500  0.500  0.000

Output
Energy above the lowest structure with this stoichiometry (eV per formula unit): 1.43
Final energy (eV/atom): -3.4290

# 9
## CSeI2 (PBE-GGA)

Data for CSeI2 after structural relaxation.

Unit cell a=5.072 b=5.072 c=5.072 alpha=60.00 beta=60.00 gamma=60.00
Element x y z (fractional)
C  0.000  0.000  0.000
Se  0.500  0.500  0.500
I  0.250  0.250  0.250
I  0.750  0.750  0.750

Output
Energy above the lowest structure with this stoichiometry (eV per formula unit): 2.15
Final energy (eV/atom): -1.9379

# 10
## CSe3I (PBE-GGA)

Data for CSe3I after structural relaxation.

Unit cell a=5.434 b=5.434 c=5.434 alpha=90.00 beta=90.00 gamma=90.00
Element x y z (fractional)
C  0.000  0.000  0.000
Se  0.000  0.500  0.500
Se  0.500  0.000  0.500
Se  0.500  0.500  0.000
I  0.500  0.500  0.500

Output
Energy above the lowest structure with this stoichiometry (eV per formula unit): 5.16
Final energy (eV/atom): -2.0058

# 11
## CSe2I (PBE-GGA)

Data for CSe2I after structural relaxation.

Unit cell a=8.443 b=8.443 c=8.443 alpha=24.09 beta=24.09 gamma=24.09
Element x y z (fractional)
C  0.000  0.000  0.000
Se  0.387  0.387  0.387
Se  0.613  0.613  0.613
I  0.500  0.500  0.500

Output
Energy above the lowest structure with this stoichiometry (eV per formula unit): 2.59
Final energy (eV/atom): -3.1388

# 12
## C2SeI (PBE-GGA)

Data for C2SeI after structural relaxation.

Unit cell a=5.804 b=5.804 c=5.804 alpha=118.25 beta=118.25 gamma=93.06
Element x y z (fractional)
C  0.070  0.625  0.945
C  0.375  0.320  0.445
C  0.680  0.125  0.055
C  0.875  0.930  0.555
Se  0.000  0.000  0.000
Se  0.750  0.250  0.500
I  0.250  0.750  0.500
I  0.500  0.500  0.000

Output
Energy above the lowest structure with this stoichiometry (eV per formula unit): 0.00
Final energy (eV/atom): -3.6375

Calculated V in order - 24.3, 35.2, 20.4, 25.9, 15.0, 40.2, 19.4, 22.7, 23.1, 32.1, 22.0, 17.7 A^3/atom
Calculated ΔE_f (raw) in order - 0.7361, 1.0809, 2.0435, 1.4766, 2.9208, 0.6497, 1.2076, 1.0068, 2.0143, 2.2397, 1.2969, 2.2331 eV/atom